1.
Below is a relaxed structure of LiScBr2, with properties calculated at the PBE level.

Values from the calculation:
formation energy without anion corrections	-883	meV per atom
magnetization	1.55	μB/f.u.
E above lowest polymorph	188	meV/atom

Geometry as CIF:
```
data_LiScBr2
_chemical_formula_sum 'Li2 Sc2 Br4'
_cell_length_a 3.5270
_cell_length_b 6.8969
_cell_length_c 8.2827
_cell_angle_alpha 90.00
_cell_angle_beta 90.00
_cell_angle_gamma 90.00
_symmetry_space_group_name_H-M 'I m m m'
_symmetry_Int_Tables_number 71
_symmetry_space_group_name_Hall '-I 2 2'
loop_
_atom_site_label
_atom_site_type_symbol
_atom_site_fract_x
_atom_site_fract_y
_atom_site_fract_z
_atom_site_occupancy
Li1 Li 0.0000 0.0000 0.0000 1
Sc1 Sc 0.0000 0.0000 0.5000 1
Br1 Br 0.0000 0.5000 0.2576 1
```

---

2.
Below is a relaxed structure of LiScBr, with properties calculated at the PBE level.

Values from the calculation:
formation energy without anion corrections	90	meV per atom
magnetization	1.05	μB/f.u.
E above lowest polymorph	704	meV/atom

Geometry as CIF:
```
data_LiScBr
_chemical_formula_sum 'Li4 Sc4 Br4'
_cell_length_a 6.7415
_cell_length_b 6.7415
_cell_length_c 6.7415
_cell_angle_alpha 90.00
_cell_angle_beta 90.00
_cell_angle_gamma 90.00
_symmetry_space_group_name_H-M 'F -4 3 m'
_symmetry_Int_Tables_number 216
_symmetry_space_group_name_Hall 'F -4 2 3'
loop_
_atom_site_label
_atom_site_type_symbol
_atom_site_fract_x
_atom_site_fract_y
_atom_site_fract_z
_atom_site_occupancy
Li1 Li 0.0000 0.0000 0.0000 1
Sc1 Sc 0.2500 0.2500 0.2500 1
Br1 Br 0.0000 0.0000 0.5000 1
```

---

3.
Below is a relaxed structure of LiScBr3, with properties calculated at the PBE level.

Values from the calculation:
formation energy without anion corrections	-1199	meV per atom
magnetization	0.85	μB/f.u.

Geometry as CIF:
```
data_LiScBr3
_chemical_formula_sum 'Li1 Sc1 Br3'
_cell_length_a 5.3716
_cell_length_b 5.3716
_cell_length_c 5.3716
_cell_angle_alpha 90.00
_cell_angle_beta 90.00
_cell_angle_gamma 90.00
_symmetry_space_group_name_H-M 'P m -3 m'
_symmetry_Int_Tables_number 221
_symmetry_space_group_name_Hall '-P 4 2 3'
loop_
_atom_site_label
_atom_site_type_symbol
_atom_site_fract_x
_atom_site_fract_y
_atom_site_fract_z
_atom_site_occupancy
Li1 Li 0.0000 0.0000 0.0000 1
Sc1 Sc 0.5000 0.5000 0.5000 1
Br1 Br 0.0000 0.5000 0.5000 1
```